# Th8Te4OsC3 (PBE, relaxed)
# volume: 1251 Å³/cell
# size of the total moment: 0.0 μB/f.u.
# E_form (uncorrected): -0.76 eV per atom
# raw total energy: -7.68 eV/atom
data_Th8Te4OsC3
_cell_length_a 8.0544
_cell_length_b 8.0544
_cell_length_c 22.2721
_cell_angle_alpha 90.00
_cell_angle_beta 90.00
_cell_angle_gamma 120.00
_space_group_name_H-M_alt 'R -3 m'
_space_group_IT_number 166
_space_group_name_Hall '-R 3 2"'
loop_
_atom_site_label
_atom_site_type_symbol
_atom_site_fract_x
_atom_site_fract_y
_atom_site_fract_z
_atom_site_occupancy
Th1 Th 0.0000 0.0000 0.2291 1
Th2 Th 0.0147 0.5073 0.7698 1
Te1 Te 0.0000 0.0000 0.0000 1
Te2 Te 0.0000 0.5000 0.0000 1
Os1 Os 0.0000 0.0000 0.5000 1
C1 C 0.0000 0.5000 0.5000 1